Record 1
A plane-wave DFT calculation with PBE was carried out for a geometry-optimized Nd3PtBr7 structure.

a b c (Å): 8.5673 8.5673 6.3953
angles (deg): 90.00 90.00 120.00
Closest atoms and distances in Å follow each position.
Space group P3m1 (No. 156)
Asymmetric unit:
Nd (0.1769, 0.3537, 0.0000)  1 Pt 2.83, 5 Br 2.92-3.09
Pt (0.3333, 0.6667, 0.7475)  3 Nd 2.83
Br (0.0000, 0.0000, 0.2558)  3 Nd 3.09
Br (0.0220, 0.5110, 0.2803)  2 Nd 2.93
Br (0.3300, 0.1650, 0.7743)  2 Nd 2.92

The calculation puts the uncorrected formation energy at -18.1 eV/f.u.

Record 2
A plane-wave DFT calculation with PBE was carried out for a geometry-optimized BaNb2Ni structure.

a b c (Å): 6.7403 6.7403 6.7403
angles (deg): 90.00 90.00 90.00
Closest atoms and distances in Å follow each position.
Space group Fm-3m (No. 225)
Asymmetric unit:
Ba (0.0000, 0.0000, 0.0000)  8 Nb 2.92
Nb (0.2500, 0.2500, 0.2500)  4 Ba 2.92, 4 Ni 2.92
Ni (0.0000, 0.0000, 0.5000)  8 Nb 2.92

Record 3
A plane-wave DFT calculation with PBE was carried out for a geometry-optimized Sr3LaY structure.

a b c (Å): 6.1745 6.1745 6.1745
angles (deg): 90.00 90.00 90.00
Closest atoms and distances in Å follow each position.
Space group Pm-3m (No. 221)
Asymmetric unit:
Sr (0.0000, 0.0000, 0.5000)  2 Y 3.09
La (0.5000, 0.5000, 0.5000)  12 Sr 4.37
Y (0.0000, 0.0000, 0.0000)  6 Sr 3.09

Record 4
A plane-wave DFT calculation with PBE was carried out for a geometry-optimized SrV2Cd structure.

a b c (Å): 4.4135 4.4135 20.8943
angles (deg): 90.00 90.00 90.00
Closest atoms and distances in Å follow each position.
Space group I-42d (No. 122)
Asymmetric unit:
Sr (0.0000, 0.0000, 0.0000)  4 Cd 3.12
V (0.0159, 0.2500, 0.6250)  2 V 2.21
Cd (0.0000, 0.0000, 0.5000)  4 V 2.84, 4 Sr 3.12

Record 5
A plane-wave DFT calculation with PBE was carried out for a geometry-optimized SrZnOs2 structure.

a b c (Å): 2.8428 2.8428 8.7092
angles (deg): 90.00 90.00 90.00
Closest atoms and distances in Å follow each position.
Space group P4/mmm (No. 123)
Asymmetric unit:
Sr (0.0000, 0.0000, 0.0000)  4 Sr 2.84
Zn (0.0000, 0.0000, 0.5000)  8 Os 2.70, 4 Zn 2.84
Os (0.5000, 0.5000, 0.2925)  4 Zn 2.70, 4 Os 2.84

| no. | raw total energy (eV/cell) | density of states at the Fermi level (states/eV/f.u.) |
| --- | --- | --- |
| 1 | -50.160 | 0.0 |
| 2 | -94.858 | 3.8 |
| 3 | -12.649 | 5.1 |
| 4 | -69.784 | 5.2 |
| 5 | -21.922 | 5.8 |